[1]
The following is a PBE-GGA calculation of a geometry-optimized MgCr2 structure, from Alexandria via LeMat-Bulk.

Structure (POSCAR):
```
MgCr2
1.0
-0.290 4.674 4.939
-1.698 -2.630 -6.044
-3.331 -2.213 1.899
Mg Cr
2 4
Direct
0.250 0.750 0.750
0.750 0.250 0.250
0.571 0.429 0.750
0.929 0.071 0.750
0.071 0.929 0.250
0.429 0.571 0.250
```

Energy of formation from the pure elements in eV/atom: 0.304
Magnetization in Bohr magnetons per cell: 0.000
Final energy in eV per cell: -39.9

---

[2]
The following is a PBE-GGA calculation of a geometry-optimized MgCr2 structure, from Alexandria via LeMat-Bulk.

Structure (POSCAR):
```
MgCr2
1.0
2.485 0.000 0.000
0.000 4.403 0.000
0.000 0.000 7.449
Mg Cr
2 4
Direct
0.000 0.000 0.000
0.500 0.500 0.500
0.953 0.000 0.345
0.047 0.000 0.655
0.453 0.500 0.155
0.547 0.500 0.845
```

Energy of formation from the pure elements in eV/atom: 0.534
Magnetization in Bohr magnetons per cell: 0.000
Final energy in eV per cell: -38.5

---

[3]
The following is a PBE-GGA calculation of a geometry-optimized MgCr2 structure, from Alexandria via LeMat-Bulk.

Structure (POSCAR):
```
MgCr2
1.0
-1.381 1.381 11.889
1.381 -1.381 11.889
1.381 1.381 -11.889
Mg Cr
2 4
Direct
0.000 0.000 0.000
0.750 0.250 0.500
0.591 0.591 0.000
0.159 0.659 0.500
0.409 0.409 0.000
0.341 0.841 0.500
```

Energy of formation from the pure elements in eV/atom: 0.716
Magnetization in Bohr magnetons per cell: 0.000
Final energy in eV per cell: -37.4

---

> final energy of number 2 (MgCr2)?

-38.5 eV per cell